Entry 1:
DFT (GGA-PBE) results for a geometry-optimized Sr4P2F5 structure.

Calculated values
- V (Å³/cell) = 227.66
- formation energy (no corrections) (eV per atom) = -2.76

Cell: 3.8472 6.2684 10.8936 Å, 117.82 100.17 90.00°
Fractional positions:
1 F 0.1875 0.3818 0.3749
2 F 0.5000 0.0000 0.0000
3 F 0.8055 0.0800 0.6111
4 F 0.1945 0.9200 0.3889
5 F 0.8125 0.6182 0.6251
6 Sr 0.2988 0.3292 0.5976
7 Sr 0.9292 0.0800 0.8583
8 Sr 0.0708 0.9200 0.1417
9 Sr 0.7012 0.6708 0.4024
10 P 0.4477 0.4706 0.8953
11 P 0.5523 0.5294 0.1047


Entry 2:
DFT (GGA-PBE) results for a geometry-optimized NdSmThTl structure.

Calculated values
- V (Å³/cell) = 122.19
- formation energy (eV/f.u.) = 0.149

Cell: 5.5699 5.5699 5.5699 Å, 60.00 60.00 60.00°
Fractional positions:
1 Sm 0.2500 0.2500 0.2500
2 Th 0.0000 0.0000 0.0000
3 Nd 0.7500 0.7500 0.7500
4 Tl 0.5000 0.5000 0.5000


Entry 3:
DFT (GGA-PBE) results for a geometry-optimized RbDy4ErS8 structure.

Calculated values
- V (Å³/cell) = 398.26
- formation energy (no corrections) (eV per atom) = -1.90

Cell: 8.2738 8.2738 8.2430 Å, 59.88 59.88 60.00°
Fractional positions:
1 Er 0.0045 0.0045 0.9866
2 S 0.8076 0.2294 0.7336
3 S 0.7580 0.7580 0.2560
4 S 0.2294 0.2294 0.7336
5 S 0.7580 0.2279 0.2560
6 S 0.2279 0.7580 0.2560
7 S 0.2294 0.8076 0.7336
8 S 0.2314 0.2314 0.3058
9 S 0.7572 0.7572 0.7283
10 Dy 0.6249 0.6249 0.1253
11 Dy 0.0047 0.0047 0.5046
12 Dy 0.0047 0.4859 0.5046
13 Dy 0.4859 0.0047 0.5046
14 Rb 0.3762 0.3762 0.8714


Entry 4:
DFT (GGA-PBE) results for a geometry-optimized AcMgCdPd3 structure.

Calculated values
- V (Å³/cell) = 279.02
- formation energy (eV/f.u.) = -2.535

Cell: 7.1844 6.0582 7.0902 Å, 115.29 90.00 90.00°
Fractional positions:
1 Pd 0.5000 0.7281 0.0000
2 Pd 0.0000 0.7281 0.0000
3 Pd 0.5000 0.2719 0.0000
4 Pd 0.7500 0.8508 0.7015
5 Pd 0.0000 0.2719 0.0000
6 Pd 0.2500 0.1492 0.2985
7 Cd 0.2500 0.9137 0.8275
8 Cd 0.7500 0.0863 0.1725
9 Ac 0.7500 0.3383 0.6766
10 Ac 0.2500 0.6617 0.3234
11 Mg 0.7500 0.6320 0.2640
12 Mg 0.2500 0.3680 0.7360


Entry 5:
DFT (GGA-PBE) results for a geometry-optimized SrRhBr2 structure.

Calculated values
- E above lowest polymorph (meV/atom) = 209
- V (Å³/cell) = 106.40
- formation energy (no corrections) (eV per atom) = -0.66

Cell: 4.1625 4.1660 6.1357 Å, 90.00 90.00 90.00°
Last column: magnetic moment on the atom in μB.
Fractional positions:
1 Br 0.0000 0.0000 0.9092  0.01
2 Br 0.5000 0.5000 0.3142  0.07
3 Rh 0.0000 0.0000 0.4937  0.86
4 Sr 0.5000 0.5000 0.7829  -0.01


Entry 6:
DFT (GGA-PBE) results for a geometry-optimized Tb2ErZn4 structure.

Calculated values
- V (Å³/cell) = 164.33
- formation energy (eV/f.u.) = -1.124

Cell: 5.1328 5.1328 7.2164 Å, 110.83 110.83 90.00°
Fractional positions:
1 Zn 0.8914 0.3914 0.7829
2 Zn 0.3914 0.8914 0.7829
3 Zn 0.6086 0.1086 0.2171
4 Zn 0.1086 0.6086 0.2171
5 Tb 0.2755 0.2755 0.5509
6 Tb 0.7245 0.7245 0.4491
7 Er 0.0000 0.0000 0.0000


Entry 7:
DFT (GGA-PBE) results for a geometry-optimized AlSe3N structure.

Calculated values
- E above lowest polymorph (meV/atom) = 0
- V (Å³/cell) = 86.67
- formation energy (no corrections) (eV per atom) = 0.78

Cell: 4.4255 4.4255 4.4255 Å, 90.00 90.00 90.00°
Fractional positions:
1 Al 0.5000 0.5000 0.5000
2 Se 0.5000 0.0000 0.0000
3 Se 0.0000 0.0000 0.5000
4 Se 0.0000 0.5000 0.0000
5 N 0.0000 0.0000 0.0000


Entry 8:
DFT (GGA-PBE) results for a geometry-optimized LiPrLuGa structure.

Calculated values
- V (Å³/cell) = 96.77
- formation energy (eV/f.u.) = -1.147

Cell: 5.1533 5.1533 5.1533 Å, 60.00 60.00 60.00°
Fractional positions:
1 Li 0.7500 0.7500 0.7500
2 Lu 0.0000 0.0000 0.0000
3 Ga 0.2500 0.2500 0.2500
4 Pr 0.5000 0.5000 0.5000


Entry 9:
DFT (GGA-PBE) results for a geometry-optimized CaUPdSe4 structure.

Calculated values
- V (Å³/cell) = 332.36
- formation energy (no corrections) (eV per atom) = -1.04

Cell: 7.2910 5.6907 8.7240 Å, 90.00 113.33 90.00°
Last column: magnetic moment on the atom in μB.
Fractional positions:
1 Se 0.0512 0.9913 0.7200  -0.07
2 Se 0.9488 0.0087 0.2800  -0.07
3 Se 0.4323 0.7500 0.5916  -0.08
4 Se 0.4378 0.7500 0.1134  -0.06
5 Se 0.5622 0.2500 0.8866  -0.06
6 Se 0.5677 0.2500 0.4084  -0.08
7 Se 0.0512 0.5087 0.7200  -0.07
8 Se 0.9488 0.4913 0.2800  -0.07
9 Pd 0.7741 0.2500 0.7252  -0.14
10 Pd 0.2259 0.7500 0.2748  -0.14
11 U 0.7225 0.7500 0.4443  1.68
12 U 0.2775 0.2500 0.5557  1.68
13 Ca 0.2783 0.2500 0.0495  -0.01
14 Ca 0.7217 0.7500 0.9505  -0.01


Entry 10:
DFT (GGA-PBE) results for a geometry-optimized Ge2PtI structure.

Calculated values
- E above lowest polymorph (meV/atom) = 0
- V (Å³/cell) = 244.02
- formation energy (no corrections) (eV per atom) = -0.02

Cell: 6.1651 6.1651 7.7602 Å, 66.60 66.60 90.00°
Fractional positions:
1 I 0.5000 0.5000 0.0000
2 I 0.2500 0.7500 0.5000
3 Pt 0.7500 0.2500 0.5000
4 Pt 0.0000 0.0000 0.0000
5 Ge 0.0207 0.6250 0.2500
6 Ge 0.3750 0.2707 0.7500
7 Ge 0.8750 0.9793 0.7500
8 Ge 0.7293 0.1250 0.2500


Entry 11:
DFT (GGA-PBE) results for a geometry-optimized KPF5 structure.

Calculated values
- V (Å³/cell) = 240.95
- formation energy (no corrections) (eV per atom) = -2.65

Cell: 9.4197 7.6646 9.3673 Å, 113.62 148.03 89.39°
Fractional positions:
1 F 0.2977 0.1134 0.7935
2 F 0.5747 0.3467 0.6602
3 F 0.8916 0.3762 0.4909
4 F 0.6923 0.5695 0.2579
5 F 0.3125 0.1473 0.1521
6 F 0.0762 0.2775 0.1323
7 F 0.7498 0.8409 0.6821
8 F 0.2341 0.6653 0.6818
9 F 0.0127 0.0345 0.1886
10 F 0.2526 0.9095 0.2121
11 K 0.2601 0.7683 0.4573
12 K 0.7242 0.9813 0.4023
13 P 0.7572 0.3758 0.2167
14 P 0.1641 0.0939 0.1722


Entry 12:
DFT (GGA-PBE) results for a geometry-optimized RbBaPuN3 structure.

Calculated values
- V (Å³/cell) = 262.51
- formation energy (no corrections) (eV per atom) = -0.53

Cell: 6.1324 6.3918 7.4861 Å, 64.73 86.43 81.61°
Last column: magnetic moment on the atom in μB.
Fractional positions:
1 Ba 0.7500 0.4090 0.1819  -0.02
2 Ba 0.2500 0.5910 0.8181  -0.02
3 N 0.7500 0.2064 0.5872  -0.26
4 N 0.0025 0.2242 0.9434  -0.22
5 N 0.5025 0.1676 0.0566  -0.22
6 N 0.9975 0.7758 0.0566  -0.22
7 N 0.4975 0.8324 0.9434  -0.22
8 N 0.2500 0.7936 0.4128  -0.26
9 Pu 0.2500 0.9379 0.1242  2.84
10 Pu 0.7500 0.0621 0.8758  2.84
11 Rb 0.7500 0.7581 0.4838  0.00
12 Rb 0.2500 0.2419 0.5162  0.00


Entry 13:
DFT (GGA-PBE) results for a geometry-optimized V2Ge2Bi structure.

Calculated values
- E above lowest polymorph (meV/atom) = 0
- V (Å³/cell) = 174.73
- formation energy (eV/f.u.) = 0.805

Cell: 7.2658 7.2658 3.3097 Å, 90.00 90.00 90.00°
Fractional positions:
1 Bi 0.5000 0.5000 0.0000
2 Bi 0.0000 0.0000 0.0000
3 V 0.3510 0.8510 0.0000
4 V 0.8510 0.6490 0.0000
5 V 0.1490 0.3510 0.0000
6 V 0.6490 0.1490 0.0000
7 Ge 0.3647 0.1353 0.5000
8 Ge 0.8647 0.3647 0.5000
9 Ge 0.6353 0.8647 0.5000
10 Ge 0.1353 0.6353 0.5000


Entry 14:
DFT (GGA-PBE) results for a geometry-optimized GaCoCu structure.

Calculated values
- E above lowest polymorph (meV/atom) = 358
- V (Å³/cell) = 43.39
- formation energy (eV/f.u.) = 1.010

Cell: 2.5504 2.5504 6.9097 Å, 100.63 100.63 90.00°
Last column: magnetic moment on the atom in μB.
Fractional positions:
1 Cu 0.1336 0.1336 0.2673  0.04
2 Ga 0.9480 0.9480 0.8960  -0.01
3 Co 0.7684 0.7684 0.5368  1.60


Entry 15:
DFT (GGA-PBE) results for a geometry-optimized Tb3Dy8Th3 structure.

Calculated values
- V (Å³/cell) = 450.77
- formation energy (eV/f.u.) = 2.176

Cell: 5.6491 9.6078 9.6078 Å, 102.10 72.91 72.91°
Fractional positions:
1 Dy 0.1600 0.2370 0.4433
2 Dy 0.6585 0.1179 0.5655
3 Dy 0.8400 0.7630 0.5567
4 Dy 0.3415 0.8821 0.4345
5 Dy 0.8400 0.5567 0.7630
6 Dy 0.6585 0.5655 0.1179
7 Dy 0.3415 0.4345 0.8821
8 Dy 0.1600 0.4433 0.2370
9 Tb 0.8068 0.1932 0.1932
10 Tb 0.1932 0.8068 0.8068
11 Tb 0.5000 0.5000 0.5000
12 Th 0.0000 0.8152 0.1848
13 Th 0.0000 0.1848 0.8152
14 Th 0.5000 0.0000 0.0000


Entry 16:
DFT (GGA-PBE) results for a geometry-optimized HgSbAsCl structure.

Calculated values
- V (Å³/cell) = 109.23
- formation energy (no corrections) (eV per atom) = -0.16

Cell: 3.9807 3.9795 8.1364 Å, 101.13 101.13 60.39°
Fractional positions:
1 Cl 0.9700 0.9296 0.1698
2 As 0.7525 0.7154 0.4922
3 Hg 0.2314 0.1919 0.9572
4 Sb 0.4651 0.4282 0.6778


Entry 17:
DFT (GGA-PBE) results for a geometry-optimized Ac3SiNi structure.

Calculated values
- E above lowest polymorph (meV/atom) = 270
- V (Å³/cell) = 169.18
- formation energy (no corrections) (eV per atom) = -0.02

Cell: 5.5307 5.5307 5.5307 Å, 90.00 90.00 90.00°
Fractional positions:
1 Ni 0.0000 0.0000 0.0000
2 Ac 0.5000 0.0000 0.0000
3 Ac 0.0000 0.0000 0.5000
4 Ac 0.0000 0.5000 0.0000
5 Si 0.5000 0.5000 0.5000


Entry 18:
DFT (GGA-PBE) results for a geometry-optimized AlPd2SN structure.

Calculated values
- V (Å³/cell) = 76.63
- formation energy (no corrections) (eV per atom) = 0.61

Cell: 4.7552 3.3891 4.7552 Å, 90.00 90.00 90.00°
Fractional positions:
1 N 0.0000 0.5000 0.0000
2 Al 0.5000 0.5000 0.5000
3 S 0.0000 0.0000 0.0000
4 Pd 0.0000 0.0000 0.5000
5 Pd 0.5000 0.0000 0.0000


Entry 19:
DFT (GGA-PBE) results for a geometry-optimized BPS2Cl structure.

Calculated values
- E above lowest polymorph (meV/atom) = 1206
- V (Å³/cell) = 102.13
- formation energy (no corrections) (eV per atom) = 2.07

Cell: 4.6381 4.6381 4.7475 Å, 90.00 90.00 90.00°
Last column: magnetic moment on the atom in μB.
Fractional positions:
1 Cl 0.0000 0.0000 0.0000  0.01
2 P 0.0000 0.0000 0.5000  0.28
3 S 0.0000 0.5000 0.0000  0.07
4 S 0.5000 0.0000 0.0000  0.07
5 B 0.5000 0.5000 0.5000  0.01


Entry 20:
DFT (GGA-PBE) results for a geometry-optimized PmSmPt4 structure.

Calculated values
- V (Å³/cell) = 117.16
- formation energy (eV/f.u.) = -6.517

Cell: 5.4924 5.4924 5.4924 Å, 60.00 60.00 60.00°
Fractional positions:
1 Pt 0.1252 0.6249 0.6249
2 Pt 0.6249 0.6249 0.6249
3 Pt 0.6249 0.1252 0.6249
4 Pt 0.6249 0.6249 0.1252
5 Sm 0.2500 0.2500 0.2500
6 Pm 0.0000 0.0000 0.0000